No. 1
DFT (PBE-GGA) results for a geometry-optimized DyTmAg6 structure.

Results
M_tot = 0.0 Bohr magnetons per cell
volume = 20.4 Å³/atom
ΔH_f (0 K) = -5.0 kcal/mol of atoms
VASP energy = -3.4902 eV/atom

The structure in POSCAR format:
```
DyTmAg6
1.0
4.709 -2.212 0.000
4.709 2.212 0.000
-4.132 0.000 7.823
Dy Tm Ag
1 1 6
Direct
0.000 0.000 0.000 Dy
0.000 0.000 0.500 Tm
0.250 0.250 0.872 Ag
0.251 0.251 0.377 Ag
0.498 0.498 0.251 Ag
0.502 0.502 0.749 Ag
0.749 0.749 0.623 Ag
0.750 0.750 0.128 Ag
```



No. 2
DFT (PBE-GGA) results for a geometry-optimized Dy2TmAg6 structure.

Results
M_tot = 0.0 Bohr magnetons per cell
volume = 21.7 Å³/atom
ΔH_f (0 K) = -5.9 kcal/mol of atoms
VASP energy = -3.6765 eV/atom

The structure in POSCAR format:
```
Dy2TmAg6
1.0
2.645 -8.030 0.000
2.645 8.030 0.000
-2.622 0.000 4.602
Dy Tm Ag
2 1 6
Direct
0.165 0.835 0.000 Dy
0.835 0.165 0.000 Dy
0.000 0.000 0.500 Tm
0.168 0.499 0.664 Ag
0.339 0.339 0.178 Ag
0.499 0.168 0.664 Ag
0.501 0.832 0.336 Ag
0.661 0.661 0.822 Ag
0.832 0.501 0.336 Ag
```



No. 3
DFT (PBE-GGA) results for a geometry-optimized DyTmAg structure.

Results
M_tot = 0.8 Bohr magnetons per cell
volume = 26.4 Å³/atom
ΔH_f (0 K) = -4.1 kcal/mol of atoms
VASP energy = -4.1543 eV/atom
relative energy among the computed polymorphs = 0 kJ/mol of formula units

The structure in POSCAR format:
```
DyTmAg
1.0
-1.783 1.783 6.222
1.783 -1.783 6.222
1.783 1.783 -6.222
Dy Tm Ag
1 1 1
Direct
0.000 0.000 0.000 Dy
0.701 0.701 0.000 Tm
0.346 0.346 0.000 Ag
```



No. 4
DFT (PBE-GGA) results for a geometry-optimized DyTm4Ag2 structure.

Results
M_tot = 0.0 Bohr magnetons per cell
volume = 30.1 Å³/atom
ΔH_f (0 K) = 3.6 kcal/mol of atoms
VASP energy = -3.8690 eV/atom

The structure in POSCAR format:
```
DyTm4Ag2
1.0
2.467 1.424 9.979
-2.467 1.424 9.979
0.000 -2.849 9.979
Dy Tm Ag
1 4 2
Direct
0.000 0.000 0.000 Dy
0.202 0.202 0.202 Tm
0.398 0.398 0.398 Tm
0.602 0.602 0.602 Tm
0.798 0.798 0.798 Tm
0.101 0.101 0.101 Ag
0.899 0.899 0.899 Ag
```



No. 5
DFT (PBE-GGA) results for a geometry-optimized Dy2TmAg4 structure.

Results
M_tot = 0.0 Bohr magnetons per cell
volume = 25.0 Å³/atom
ΔH_f (0 K) = -2.9 kcal/mol of atoms
VASP energy = -3.7071 eV/atom

The structure in POSCAR format:
```
Dy2TmAg4
1.0
-2.621 2.621 6.373
2.621 -2.621 6.373
2.621 2.621 -6.373
Dy Tm Ag
2 1 4
Direct
0.226 0.226 0.000 Dy
0.774 0.774 0.000 Dy
0.500 0.500 0.000 Tm
0.118 0.618 0.500 Ag
0.382 0.882 0.500 Ag
0.618 0.118 0.500 Ag
0.882 0.382 0.500 Ag
```



No. 6
DFT (PBE-GGA) results for a geometry-optimized Dy3Tm4Ag4 structure.

Results
M_tot = 0.0 Bohr magnetons per cell
volume = 26.4 Å³/atom
ΔH_f (0 K) = -2.7 kcal/mol of atoms
VASP energy = -4.0347 eV/atom

The structure in POSCAR format:
```
Dy3Tm4Ag4
1.0
-2.487 3.740 7.811
2.487 -3.740 7.811
2.487 3.740 -7.811
Dy Tm Ag
3 4 4
Direct
0.000 0.000 0.000 Dy
0.394 0.894 0.500 Dy
0.606 0.106 0.500 Dy
0.045 0.325 0.720 Tm
0.396 0.675 0.720 Tm
0.604 0.325 0.280 Tm
0.955 0.675 0.280 Tm
0.198 0.198 0.000 Ag
0.312 0.500 0.812 Ag
0.688 0.500 0.188 Ag
0.802 0.802 0.000 Ag
```



No. 7
DFT (PBE-GGA) results for a geometry-optimized DyTm2Ag4 structure.

Results
M_tot = 0.0 Bohr magnetons per cell
volume = 25.4 Å³/atom
ΔH_f (0 K) = -2.4 kcal/mol of atoms
VASP energy = -3.6675 eV/atom

The structure in POSCAR format:
```
DyTm2Ag4
1.0
-3.562 3.562 3.503
3.562 -3.562 3.503
3.562 3.562 -3.503
Dy Tm Ag
1 2 4
Direct
0.000 0.000 0.000 Dy
0.000 0.500 0.500 Tm
0.500 0.000 0.500 Tm
0.000 0.000 0.500 Ag
0.000 0.500 0.000 Ag
0.500 0.000 0.000 Ag
0.500 0.500 0.500 Ag
```



No. 8
DFT (PBE-GGA) results for a geometry-optimized DyTmAg4 structure.

Results
M_tot = 0.0 Bohr magnetons per cell
volume = 21.6 Å³/atom
ΔH_f (0 K) = -4.0 kcal/mol of atoms
VASP energy = -3.5855 eV/atom
relative energy among the computed polymorphs = 86 kJ/mol of formula units

The structure in POSCAR format:
```
DyTmAg4
1.0
0.000 4.018 4.018
4.018 0.000 4.018
4.018 4.018 0.000
Dy Tm Ag
1 1 4
Direct
0.000 0.000 0.000 Dy
0.250 0.250 0.250 Tm
0.125 0.625 0.625 Ag
0.625 0.125 0.625 Ag
0.625 0.625 0.125 Ag
0.625 0.625 0.625 Ag
```



Look up the M_tot of the sixth one. 0.0 Bohr magnetons per cell